[1]
Material: Mg2IrPb
Method: DFT, meta-GGA SCAN
State: PBEsol geometry

The value obtained for the calculated total energy is -39.533 eV per atom. The formation energy is -0.33 eV/atom.

abc: 3.1891 3.1891 7.7318
angles: 90.00 90.00 90.00
Element x y z (fractional)
Pb 0.5000 0.5000 0.5000
Mg 0.0000 0.0000 0.1872
Mg 0.0000 0.0000 0.8128
Ir 0.5000 0.5000 0.0000

***

[2]
Material: MgIrPb
Method: DFT, meta-GGA SCAN
State: PBEsol geometry

The value obtained for the calculated total energy is -50.655 eV per atom. The formation energy is -0.04 eV/atom.

abc: 3.1687 3.1687 6.3990
angles: 104.34 104.34 90.00
Element x y z (fractional)
Ir 0.9920 0.9920 0.9840
Mg 0.3663 0.3663 0.7326
Pb 0.6417 0.6417 0.2834

***

[3]
Material: MgIr2Pb
Method: DFT, meta-GGA SCAN
State: PBEsol geometry

The value obtained for the calculated total energy is -55.486 eV per atom. The formation energy is 0.25 eV/atom.

abc: 2.9314 4.5440 5.2081
angles: 90.00 90.94 90.00
Element x y z (fractional)
Ir 0.7652 0.0000 0.7816
Ir 0.2348 0.0000 0.2184
Mg 0.5000 0.5000 0.0000
Pb 0.0000 0.5000 0.5000

***

[4]
Material: MgIrPd2Ru
Method: DFT, meta-GGA SCAN
State: PBEsol geometry

The value obtained for the calculated total energy is -33.865 eV per atom. The formation energy is 1.43 eV/atom.

abc: 4.3217 4.3217 4.5104
angles: 90.00 90.00 90.00
Each line ends with the local moment (μB).
Element x y z (fractional)
Ru 0.0000 0.0000 0.5000  1.79
Mg 0.0000 0.0000 0.0000  -0.03
Ir 0.5000 0.5000 0.5000  1.28
Pd 0.0000 0.5000 0.0000  0.13
Pd 0.5000 0.0000 0.0000  0.13

***

[5]
Material: SrMg2IrPd
Method: DFT, meta-GGA SCAN
State: PBEsol geometry

The value obtained for the calculated total energy is -26.842 eV per atom. The formation energy is 0.38 eV/atom.

abc: 4.7953 4.7953 5.3964
angles: 90.00 90.00 90.00
Element x y z (fractional)
Sr 0.0000 0.0000 0.5000
Mg 0.0000 0.5000 0.0000
Mg 0.5000 0.0000 0.0000
Ir 0.5000 0.5000 0.5000
Pd 0.0000 0.0000 0.0000

***

[6]
Material: MgIr2Pt
Method: DFT, meta-GGA SCAN
State: PBEsol geometry

The value obtained for the calculated total energy is -54.653 eV per atom. The formation energy is -0.31 eV/atom.

abc: 2.7406 4.7285 4.7674
angles: 99.31 106.70 90.00
Element x y z (fractional)
Ir 0.2504 0.2541 0.5008
Ir 0.7496 0.7459 0.4992
Mg 0.5000 0.0000 0.0000
Pt 0.0000 0.5000 0.0000

***

[7]
Material: MgIr2Pt
Method: DFT, meta-GGA SCAN
State: PBEsol geometry

The value obtained for the calculated total energy is -54.731 eV per atom. The formation energy is -0.39 eV/atom.

abc: 2.7496 4.7096 4.7227
angles: 108.52 90.00 90.00
Element x y z (fractional)
Ir 0.0000 0.0000 0.0000
Ir 0.5000 0.5000 0.0000
Mg 0.5000 0.0000 0.5000
Pt 0.0000 0.5000 0.5000

***

[8]
Material: RbMg2Ir
Method: DFT, meta-GGA SCAN
State: PBEsol geometry

The value obtained for the calculated total energy is -25.055 eV per atom. The formation energy is 0.39 eV/atom.

abc: 6.0126 6.0126 9.0211
angles: 109.47 109.47 90.00
Element x y z (fractional)
Mg 0.6250 0.8750 0.7500
Mg 0.1250 0.8750 0.7500
Mg 0.1250 0.8750 0.2500
Mg 0.1250 0.3750 0.2500
Ir 0.0000 0.0000 0.0000
Ir 0.2500 0.7500 0.5000
Rb 0.5000 0.5000 0.0000
Rb 0.7500 0.2500 0.5000

***

Among the records above, which one has the highest calculated total energy?
RbMg2Ir